Material: YSbSeF2
Method: DFT, PBE
State: optimized geometry

## Properties
As for the calculated total energy: -4.924 eV/atom. The uncorrected formation energy comes out at -1.361 eV per atom. The value obtained for the magnetic moment is 0.15 μB per atom.

Lattice parameters (Å, degrees): 4.303 4.303 6.662 90.00 90.00 90.00
Space group P4/mmm (No. 123)
Symmetry-distinct sites (fractional):
Y 0.000 0.000 0.000
Sb 0.500 0.500 0.500
Se 0.500 0.500 0.000
F 0.000 0.500 0.500